Entry 1:
The following is a DFT calculation (PBE) of a geometry-optimized Pr3Tl3InTe8 structure.

abc: 9.0741 9.0730 9.6612
angles: 118.00 90.00 120.00
Closest atoms and distances in Å follow each position.
Fractional positions:
Te  0.7533  0.9849  0.7163  1 In 3.06, 2 Pr 3.20
Te  0.7420  0.4840  0.7259  3 Pr 3.20, 3 Tl 3.44
Te  0.2310  0.4620  0.7158  1 In 3.05, 2 Pr 3.20
Te  0.7690  0.5380  0.2842  1 In 3.05, 2 Pr 3.20
Te  0.2467  0.0151  0.2837  1 In 3.06, 2 Pr 3.20
Te  0.2316  0.9849  0.7163  1 In 3.06, 2 Pr 3.20
Te  0.7684  0.0151  0.2837  1 In 3.06, 2 Pr 3.20
Te  0.2580  0.5160  0.2741  3 Pr 3.20, 3 Tl 3.44
Tl  0.0000  0.0000  0.0000  6 Te 3.44-3.45
Tl  0.5000  0.5000  0.0000  6 Te 3.44-3.45
Tl  0.0000  0.5000  0.0000  6 Te 3.44-3.45
Pr  0.5000  0.0000  0.5000  6 Te 3.20
Pr  0.5000  0.5000  0.5000  6 Te 3.20
Pr  0.0000  0.5000  0.5000  6 Te 3.20
In  0.0000  0.0000  0.5000  6 Te 3.05-3.06

Summary:
The space-group type is R-3m. The density of states at the Fermi level is 9.2 states/eV/cell. For the formation energy from raw total energies, the calculation gives -835 meV per atom.

***

Entry 2:
The following is a DFT calculation (PBE) of a geometry-optimized SrP2Pb2 structure.

abc: 5.3811 5.3811 6.2937
angles: 64.69 64.69 90.00
Closest atoms and distances in Å follow each position.
Fractional positions:
Sr  0.0000  0.0000  0.0000  2 Pb 3.43, 8 P 3.68
P  0.7500  0.2500  0.5000  4 Pb 2.84
P  0.2500  0.7500  0.5000  4 Pb 2.84
Pb  0.6580  0.6580  0.6840  4 P 2.84, 1 Pb 3.17
Pb  0.3420  0.3420  0.3160  4 P 2.84, 1 Pb 3.17

Summary:
For the formation enthalpy at 0 K, the calculation gives -0.135 eV/atom. The space-group type is I4/mmm. The density of states at the Fermi level is 2.9 states/eV/cell.

***

Entry 3:
The following is a DFT calculation (PBE) of a geometry-optimized Na2Li2TiO4 structure.

abc: 3.1041 7.6707 6.2346
angles: 133.11 104.41 90.00
Closest atoms and distances in Å follow each position.
Fractional positions:
O  0.4396  0.7697  0.8793  1 Li 1.92, 2 Ti 2.06
O  0.7915  0.8753  0.5831  3 Li 1.93-1.98, 1 Ti 1.96
O  0.5604  0.2303  0.1207  1 Li 1.92, 2 Ti 2.06
O  0.2085  0.1247  0.4169  3 Li 1.93-1.98, 1 Ti 1.96
Na  0.1756  0.5635  0.3511  5 O 2.32-2.42
Na  0.8244  0.4365  0.6489  5 O 2.32-2.42
Li  0.3474  0.0728  0.6948  4 O 1.92-1.98
Li  0.6526  0.9272  0.3052  4 O 1.92-1.98
Ti  0.0000  0.0000  0.0000  6 O 1.96-2.06

Summary:
The space-group type is C2/m. The density of states at the Fermi level is 0.0 states/eV/cell. For the formation energy from raw total energies, the calculation gives -2190 meV per atom.

***

Entry 4:
The following is a DFT calculation (PBE) of a geometry-optimized Y2AsSe structure.

abc: 6.9338 6.9338 6.9338
angles: 146.26 146.26 48.46
Closest atoms and distances in Å follow each position.
Fractional positions:
As  0.5000  0.5000  0.0000  4 Y 2.85
Y  0.0000  0.0000  0.0000  4 As 2.85
Y  0.2500  0.7500  0.5000  4 Se 2.85
Se  0.7500  0.2500  0.5000  4 Y 2.85

Summary:
The space-group type is I-4m2. The density of states at the Fermi level is 2.5 states/eV/cell. For the formation energy from raw total energies, the calculation gives -1186 meV per atom.

***

Entry 5:
The following is a DFT calculation (PBE) of a geometry-optimized Pm5Mg4Hg4 structure.

abc: 4.7177 8.9109 8.9109
angles: 85.98 74.65 74.65
Closest atoms and distances in Å follow each position.
Fractional positions:
Hg  0.7474  0.3151  0.1901  3 Mg 2.87-2.94, 2 Pm 3.16-3.19
Hg  0.2526  0.6849  0.8099  3 Mg 2.87-2.94, 2 Pm 3.16-3.19
Hg  0.0625  0.1901  0.6849  3 Mg 2.87-2.94, 2 Pm 3.16-3.19
Hg  0.9375  0.8099  0.3151  3 Mg 2.87-2.94, 2 Pm 3.16-3.19
Pm  0.6285  0.6678  0.0751  5 Hg 3.19-3.36, 3 Mg 3.45-3.55
Pm  0.0000  0.0000  0.0000  4 Hg 3.16
Pm  0.2963  0.0751  0.3322  5 Hg 3.19-3.36, 3 Mg 3.45-3.55
Pm  0.3715  0.3322  0.9249  5 Hg 3.19-3.36, 3 Mg 3.45-3.55
Pm  0.7037  0.9249  0.6678  5 Hg 3.19-3.36, 3 Mg 3.45-3.55
Mg  0.4200  0.6841  0.4758  3 Hg 2.87-2.94, 1 Mg 3.19
Mg  0.1041  0.4758  0.3159  3 Hg 2.87-2.94, 1 Mg 3.19
Mg  0.5800  0.3159  0.5242  3 Hg 2.87-2.94, 1 Mg 3.19
Mg  0.8959  0.5242  0.6841  3 Hg 2.87-2.94, 1 Mg 3.19

Summary:
For the formation enthalpy at 0 K, the calculation gives -0.336 eV/atom. The space-group type is I4/m. The density of states at the Fermi level is 11.1 states/eV/cell.

***

Entry 6:
The following is a DFT calculation (PBE) of a geometry-optimized SrTcBr2 structure.

abc: 3.4742 3.4742 8.9463
angles: 90.00 90.00 90.00
Closest atoms and distances in Å follow each position.
Fractional positions:
Br  0.5000  0.5000  0.3047  4 Sr 3.08
Br  0.0000  0.0000  0.8948  4 Tc 2.63
Sr  0.0000  0.0000  0.5115  5 Br 3.08-3.43
Tc  0.5000  0.5000  0.7889  4 Br 2.63

Summary:
The space-group type is P4mm. The density of states at the Fermi level is 1.6 states/eV/cell. For the formation energy from raw total energies, the calculation gives -263 meV per atom.

***

Entry 7:
The following is a DFT calculation (PBE) of a geometry-optimized CaFe2Tc structure.

abc: 5.0804 5.0804 5.0804
angles: 134.88 134.88 65.71
Closest atoms and distances in Å follow each position.
Fractional positions:
Fe  0.2500  0.7500  0.5000  4 Ca 2.76, 4 Fe 2.89, 4 Tc 2.89
Fe  0.0000  0.0000  0.0000  4 Tc 2.76, 4 Fe 2.89, 4 Ca 2.89
Ca  0.7500  0.2500  0.5000  8 Fe 2.76-2.89, 4 Tc 2.89
Tc  0.5000  0.5000  0.0000  8 Fe 2.76-2.89, 4 Ca 2.89

Summary:
For the formation enthalpy at 0 K, the calculation gives 0.773 eV/atom. The space-group type is I-4m2. The density of states at the Fermi level is 7.0 states/eV/cell.

***

Entry 8:
The following is a DFT calculation (PBE) of a geometry-optimized YEr8Hg2 structure.

abc: 5.4646 8.5695 8.5695
angles: 118.11 100.27 100.27
Closest atoms and distances in Å follow each position.
Fractional positions:
Er  0.7004  0.3973  0.3973  2 Er 3.15-3.29, 2 Hg 3.24, 1 Y 3.29
Er  0.8935  0.9092  0.6790  2 Hg 3.07-3.30, 2 Er 3.38-3.40
Er  0.2996  0.6027  0.6027  2 Er 3.15-3.29, 2 Hg 3.24, 1 Y 3.29
Er  0.1065  0.0908  0.3210  2 Hg 3.07-3.30, 2 Er 3.38-3.40
Er  0.1065  0.3210  0.0908  2 Hg 3.07-3.30, 2 Er 3.38-3.40
Er  0.5000  0.2257  0.7743  2 Hg 2.98, 1 Y 3.32
Er  0.5000  0.7743  0.2257  2 Hg 2.98, 1 Y 3.32
Er  0.8935  0.6790  0.9092  2 Hg 3.07-3.30, 2 Er 3.38-3.40
Hg  0.0000  0.6928  0.3072  8 Er 2.98-3.30
Hg  0.0000  0.3072  0.6928  8 Er 2.98-3.30
Y  0.5000  0.0000  0.0000  12 Er 3.29-3.67

Summary:
For the formation enthalpy at 0 K, the calculation gives -0.042 eV/atom. The space-group type is C2/m. The density of states at the Fermi level is 15.4 states/eV/cell.

***

Entry 9:
The following is a DFT calculation (PBE) of a geometry-optimized MnAlOs3 structure.

abc: 4.3466 4.3466 4.3466
angles: 90.00 90.00 90.00
Closest atoms and distances in Å follow each position.
Fractional positions:
Al  0.0000  0.0000  0.0000  6 Os 2.17
Os  0.0000  0.5000  0.0000  2 Al 2.17
Os  0.0000  0.0000  0.5000  2 Al 2.17
Os  0.5000  0.0000  0.0000  2 Al 2.17
Mn  0.5000  0.5000  0.5000  12 Os 3.07

Summary:
For the formation enthalpy at 0 K, the calculation gives 1.915 eV/atom. The space-group type is Pm-3m. The density of states at the Fermi level is 8.2 states/eV/cell.

***

Entry 10:
The following is a DFT calculation (PBE) of a geometry-optimized NaAl4Au6 structure.

abc: 4.2292 7.4839 7.4839
angles: 120.00 90.00 90.00
Closest atoms and distances in Å follow each position.
Fractional positions:
Au  0.0000  0.5345  0.4655  5 Al 2.61-2.74
Au  0.0000  0.9311  0.4655  5 Al 2.61-2.74
Au  0.5000  0.6093  0.8047  4 Al 2.55-2.77
Au  0.0000  0.5345  0.0689  5 Al 2.61-2.74
Au  0.5000  0.1953  0.3907  4 Al 2.55-2.77
Au  0.5000  0.1953  0.8047  4 Al 2.55-2.77
Al  0.0000  0.3333  0.6667  9 Au 2.61-2.77
Al  0.5000  0.8022  0.6043  6 Au 2.55-2.74
Al  0.5000  0.3957  0.1978  6 Au 2.55-2.74
Al  0.5000  0.8022  0.1978  6 Au 2.55-2.74
Na  0.0000  0.0000  0.0000  6 Au 3.30, 6 Al 3.32

Summary:
For the formation enthalpy at 0 K, the calculation gives -0.346 eV/atom. The space-group type is P-6m2. The density of states at the Fermi level is 4.5 states/eV/cell.

***

Entry 11:
The following is a DFT calculation (PBE) of a geometry-optimized SmAg4Pd structure.

abc: 5.5082 5.5082 5.5082
angles: 60.00 60.00 60.00
Closest atoms and distances in Å follow each position.
Fractional positions:
Ag  0.6255  0.1235  0.6255  6 Ag 2.74-2.77
Ag  0.1235  0.6255  0.6255  6 Ag 2.74-2.77
Ag  0.6255  0.6255  0.6255  6 Ag 2.74-2.77
Ag  0.6255  0.6255  0.1235  6 Ag 2.74-2.77
Pd  0.0000  0.0000  0.0000  12 Ag 3.23, 4 Sm 3.37
Sm  0.2500  0.2500  0.2500  12 Ag 3.23, 4 Pd 3.37

Summary:
For the formation enthalpy at 0 K, the calculation gives -0.208 eV/atom. The space-group type is F-43m. The density of states at the Fermi level is 4.1 states/eV/cell.

***

Entry 12:
The following is a DFT calculation (PBE) of a geometry-optimized Mn2HRuPt structure.

abc: 3.8576 3.8576 3.7640
angles: 90.00 90.00 90.00
Closest atoms and distances in Å follow each position.
Fractional positions:
Ru  0.5000  0.5000  0.5000  8 Mn 2.69, 4 Pt 2.73
Mn  0.5000  0.0000  0.0000  2 H 1.93
Mn  0.0000  0.5000  0.0000  2 H 1.93
Pt  0.0000  0.0000  0.5000  2 H 1.88
H  0.0000  0.0000  0.0000  2 Pt 1.88, 4 Mn 1.93

Summary:
The space-group type is P4/mmm. The density of states at the Fermi level is 6.4 states/eV/cell. For the total energy, the calculation gives -7.347 eV/atom.